An optimized crystal structure of MnAuO2, computed with GGA+U.

Values from the calculation:
Space group: R-3m (166)
Energy (eV/f.u.): -24.659
M_tot (μB per formula unit): 4.00

a = 3.1072 Å, b = 3.1072 Å, c = 18.4089 Å
α = 90.00°, β = 90.00°, γ = 120.00°
Closest atoms and distances in Å follow each position.
Element x y z (fractional)
Mn1 0.0000 0.0000 0.0000  6 O 2.06
Mn2 0.3333 0.6667 0.6667  6 O 2.06
Mn3 0.6667 0.3333 0.3333  6 O 2.06
Au1 0.0000 0.0000 0.5000  2 O 2.05
Au2 0.3333 0.6667 0.1667  2 O 2.05
Au3 0.6667 0.3333 0.8333  2 O 2.05
O1 0.0000 0.0000 0.3886  1 Au 2.05, 3 Mn 2.06
O2 0.0000 0.0000 0.6114  1 Au 2.05, 3 Mn 2.06
O3 0.3333 0.6667 0.0553  1 Au 2.05, 3 Mn 2.06
O4 0.3333 0.6667 0.2781  1 Au 2.05, 3 Mn 2.06
O5 0.6667 0.3333 0.7219  1 Au 2.05, 3 Mn 2.06
O6 0.6667 0.3333 0.9447  1 Au 2.05, 3 Mn 2.06